Computed, not measured: an optimized crystal structure of Tb2YHo at the PBE level of DFT. Values from VASP.

Structure (Quantum ESPRESSO input):
```
&SYSTEM
  ibrav = 0, nat = 4, ntyp = 3
/
ATOMIC_SPECIES
Y 88.91 Y.upf
Ho 164.93 Ho.upf
Tb 158.93 Tb.upf
CELL_PARAMETERS angstrom
-1.937 4.114 2.132
-4.619 -1.945 -0.442
0.463 -2.131 4.534
ATOMIC_POSITIONS crystal
Y 0.500 0.000 0.000
Ho 0.500 0.500 0.500
Tb 0.000 0.000 0.500
Tb 0.000 0.500 0.000
```

Values from the calculation:
Calculated volume   127.13 Å³/f.u.
M_tot   0.00 Bohr magnetons per cell
ΔH_f (0 K)   0.022 eV/atom
Energy above the most stable polymorph in this dataset   15 meV/atom
Symmetry   P4/mmm, No. 123